1.
# GGA-PBE CaCoPb2, relaxed
# **Crystal system**: tetragonal
# **Total moment**: 1.15 Bohr magnetons per cell
# **VASP energy**: -3.99 eV per atom
data_CaCoPb2
_chemical_formula_sum 'Ca1 Co1 Pb2'
_cell_length_a 3.551
_cell_length_b 3.551
_cell_length_c 7.916
_cell_angle_alpha 90.00
_cell_angle_beta 90.00
_cell_angle_gamma 90.00
_symmetry_space_group_name_H-M 'P 1'
_symmetry_Int_Tables_number 1
_symmetry_space_group_name_Hall 'P 1'
loop_
_atom_site_label
_atom_site_type_symbol
_atom_site_fract_x
_atom_site_fract_y
_atom_site_fract_z
Pb1 Pb 0.500 0.500 0.237
Pb2 Pb 0.000 0.000 0.938
Ca1 Ca 0.000 0.000 0.541
Co1 Co 0.500 0.500 0.785

2.
# GGA-PBE CaCoPb2, relaxed
# **Crystal system**: monoclinic
# **Total moment**: 0.55 Bohr magnetons per cell
# **VASP energy**: -4.02 eV per atom
data_CaCoPb2
_chemical_formula_sum 'Ca1 Co1 Pb2'
_cell_length_a 3.660
_cell_length_b 4.897
_cell_length_c 6.287
_cell_angle_alpha 67.25
_cell_angle_beta 90.00
_cell_angle_gamma 90.00
_symmetry_space_group_name_H-M 'P 1'
_symmetry_Int_Tables_number 1
_symmetry_space_group_name_Hall 'P 1'
loop_
_atom_site_label
_atom_site_type_symbol
_atom_site_fract_x
_atom_site_fract_y
_atom_site_fract_z
Co1 Co 0.500 0.976 0.674
Pb1 Pb 0.000 0.811 0.002
Pb2 Pb 0.500 0.199 0.228
Ca1 Ca 0.000 0.514 0.596

3.
# GGA-PBE CaCoPb, relaxed
# **Crystal system**: cubic
# **Total moment**: 0.00 Bohr magnetons per cell
# **VASP energy**: -4.16 eV per atom
data_CaCoPb
_chemical_formula_sum 'Ca1 Co1 Pb1'
_cell_length_a 4.635
_cell_length_b 4.635
_cell_length_c 4.635
_cell_angle_alpha 60.00
_cell_angle_beta 60.00
_cell_angle_gamma 60.00
_symmetry_space_group_name_H-M 'P 1'
_symmetry_Int_Tables_number 1
_symmetry_space_group_name_Hall 'P 1'
loop_
_atom_site_label
_atom_site_type_symbol
_atom_site_fract_x
_atom_site_fract_y
_atom_site_fract_z
Co1 Co 0.250 0.250 0.250
Ca1 Ca 0.500 0.500 0.500
Pb1 Pb 0.000 0.000 0.000

4.
# GGA-PBE CaCoPb2, relaxed
# **Crystal system**: tetragonal
# **Total moment**: 1.60 Bohr magnetons per cell
# **VASP energy**: -3.93 eV per atom
data_CaCoPb2
_chemical_formula_sum 'Ca1 Co1 Pb2'
_cell_length_a 5.792
_cell_length_b 5.792
_cell_length_c 5.792
_cell_angle_alpha 134.38
_cell_angle_beta 134.38
_cell_angle_gamma 66.49
_symmetry_space_group_name_H-M 'P 1'
_symmetry_Int_Tables_number 1
_symmetry_space_group_name_Hall 'P 1'
loop_
_atom_site_label
_atom_site_type_symbol
_atom_site_fract_x
_atom_site_fract_y
_atom_site_fract_z
Pb1 Pb 0.250 0.750 0.500
Pb2 Pb 0.000 0.000 0.000
Co1 Co 0.750 0.250 0.500
Ca1 Ca 0.500 0.500 0.000